The following is a DFT calculation (PBE) of an optimized crystal structure of RbNa5CdHg2.

Structure (POSCAR):
```
RbNa5CdHg2
1.0
5.712 0.000 0.000
0.000 5.712 0.000
0.000 0.000 11.548
Na Cd Hg Rb
5 1 2 1
Cartesian
0.000 0.000 5.774
0.000 2.856 1.785
2.856 0.000 1.785
0.000 2.856 9.762
2.856 0.000 9.762
0.000 0.000 0.000
0.000 0.000 2.905
0.000 0.000 8.642
2.856 2.856 5.774
```

Results
formation energy: -0.4 eV per formula unit
symmetry: No. 123
total magnetization: 0.00 Bohr magnetons per cell